[1]
# CoP2PdO (PBE with a Hubbard U, relaxed)
data_CoP2PdO
_cell_length_a 4.572
_cell_length_b 4.572
_cell_length_c 3.356
_cell_angle_alpha 90.00
_cell_angle_beta 90.00
_cell_angle_gamma 90.00
_symmetry_space_group_name_H-M 'P 1'
_symmetry_Int_Tables_number 1
loop_
_symmetry_equiv_pos_as_xyz
'x,y,z'
loop_
_atom_site_label
_atom_site_type_symbol
_atom_site_fract_x
_atom_site_fract_y
_atom_site_fract_z
_atom_site_occupancy
Co1 Co 0.000 0.000 0.000 1
P1 P 0.000 0.500 0.000 1
P2 P 0.500 0.000 0.000 1
Pd1 Pd 0.500 0.500 0.500 1
O1 O 0.000 0.000 0.500 1
# Symmetry ... No. 123
# Crystal system ... tetragonal
# Distance to the lowest polymorph of the same formula ... 0.0 meV/atom

[2]
# CoP2PdO (PBE with a Hubbard U, relaxed)
data_CoP2PdO
_cell_length_a 4.762
_cell_length_b 4.762
_cell_length_c 3.814
_cell_angle_alpha 90.00
_cell_angle_beta 90.00
_cell_angle_gamma 90.00
_symmetry_space_group_name_H-M 'P 1'
_symmetry_Int_Tables_number 1
loop_
_symmetry_equiv_pos_as_xyz
'x,y,z'
loop_
_atom_site_label
_atom_site_type_symbol
_atom_site_fract_x
_atom_site_fract_y
_atom_site_fract_z
_atom_site_occupancy
Co1 Co 0.000 0.000 0.000 1
P1 P 0.000 0.500 0.500 1
P2 P 0.500 0.000 0.500 1
Pd1 Pd 0.500 0.500 0.500 1
O1 O 0.500 0.500 0.000 1
# Symmetry ... No. 123
# Crystal system ... tetragonal
# Distance to the lowest polymorph of the same formula ... 576.8 meV/atom

[3]
# CoP2PdO (PBE with a Hubbard U, relaxed)
data_CoP2PdO
_cell_length_a 4.304
_cell_length_b 4.304
_cell_length_c 3.687
_cell_angle_alpha 90.00
_cell_angle_beta 90.00
_cell_angle_gamma 90.00
_symmetry_space_group_name_H-M 'P 1'
_symmetry_Int_Tables_number 1
loop_
_symmetry_equiv_pos_as_xyz
'x,y,z'
loop_
_atom_site_label
_atom_site_type_symbol
_atom_site_fract_x
_atom_site_fract_y
_atom_site_fract_z
_atom_site_occupancy
Co1 Co 0.000 0.000 0.000 1
P1 P 0.000 0.500 0.500 1
P2 P 0.500 0.000 0.500 1
Pd1 Pd 0.500 0.500 0.000 1
O1 O 0.000 0.000 0.500 1
# Symmetry ... No. 123
# Crystal system ... tetragonal
# Distance to the lowest polymorph of the same formula ... 125.4 meV/atom

[4]
# PmCo2PO8 (PBE with a Hubbard U, relaxed)
data_PmCo2PO8
_cell_length_a 5.563
_cell_length_b 5.563
_cell_length_c 5.871
_cell_angle_alpha 90.00
_cell_angle_beta 90.00
_cell_angle_gamma 120.00
_symmetry_space_group_name_H-M 'P 1'
_symmetry_Int_Tables_number 1
loop_
_symmetry_equiv_pos_as_xyz
'x,y,z'
loop_
_atom_site_label
_atom_site_type_symbol
_atom_site_fract_x
_atom_site_fract_y
_atom_site_fract_z
_atom_site_occupancy
Pm1 Pm 0.000 0.000 0.000 1
Co1 Co 0.333 0.667 0.577 1
Co2 Co 0.667 0.333 0.423 1
P1 P 0.000 0.000 0.500 1
O1 O 0.146 0.292 0.675 1
O2 O 0.146 0.854 0.675 1
O3 O 0.292 0.146 0.325 1
O4 O 0.333 0.667 0.286 1
O5 O 0.667 0.333 0.714 1
O6 O 0.708 0.854 0.675 1
O7 O 0.854 0.146 0.325 1
O8 O 0.854 0.708 0.325 1
# Symmetry ... No. 164
# Crystal system ... trigonal
# Uncorrected energy ... -6.35 eV/atom

[5]
# CoP2PtO (PBE with a Hubbard U, relaxed)
data_CoP2PtO
_cell_length_a 4.544
_cell_length_b 4.544
_cell_length_c 3.348
_cell_angle_alpha 90.00
_cell_angle_beta 90.00
_cell_angle_gamma 90.00
_symmetry_space_group_name_H-M 'P 1'
_symmetry_Int_Tables_number 1
loop_
_symmetry_equiv_pos_as_xyz
'x,y,z'
loop_
_atom_site_label
_atom_site_type_symbol
_atom_site_fract_x
_atom_site_fract_y
_atom_site_fract_z
_atom_site_occupancy
Co1 Co 0.000 0.000 0.000 1
P1 P 0.000 0.500 0.000 1
P2 P 0.500 0.000 0.000 1
Pt1 Pt 0.500 0.500 0.500 1
O1 O 0.000 0.000 0.500 1
# Symmetry ... No. 123
# Crystal system ... tetragonal
# Distance to the lowest polymorph of the same formula ... 0.0 meV/atom

[6]
# CoPPtO2 (PBE with a Hubbard U, relaxed)
data_CoPPtO2
_cell_length_a 3.802
_cell_length_b 3.802
_cell_length_c 5.252
_cell_angle_alpha 90.00
_cell_angle_beta 90.00
_cell_angle_gamma 90.00
_symmetry_space_group_name_H-M 'P 1'
_symmetry_Int_Tables_number 1
loop_
_symmetry_equiv_pos_as_xyz
'x,y,z'
loop_
_atom_site_label
_atom_site_type_symbol
_atom_site_fract_x
_atom_site_fract_y
_atom_site_fract_z
_atom_site_occupancy
Co1 Co 0.000 0.000 0.000 1
P1 P 0.500 0.500 0.000 1
Pt1 Pt 0.500 0.500 0.500 1
O1 O 0.000 0.500 0.500 1
O2 O 0.500 0.000 0.500 1
# Symmetry ... No. 123
# Crystal system ... tetragonal
# Distance to the lowest polymorph of the same formula ... 340.2 meV/atom

[7]
# CoP2PtO (PBE with a Hubbard U, relaxed)
data_CoP2PtO
_cell_length_a 4.840
_cell_length_b 4.840
_cell_length_c 3.768
_cell_angle_alpha 90.00
_cell_angle_beta 90.00
_cell_angle_gamma 90.00
_symmetry_space_group_name_H-M 'P 1'
_symmetry_Int_Tables_number 1
loop_
_symmetry_equiv_pos_as_xyz
'x,y,z'
loop_
_atom_site_label
_atom_site_type_symbol
_atom_site_fract_x
_atom_site_fract_y
_atom_site_fract_z
_atom_site_occupancy
Co1 Co 0.000 0.000 0.000 1
P1 P 0.000 0.500 0.500 1
P2 P 0.500 0.000 0.500 1
Pt1 Pt 0.500 0.500 0.500 1
O1 O 0.500 0.500 0.000 1
# Symmetry ... No. 123
# Crystal system ... tetragonal
# Distance to the lowest polymorph of the same formula ... 484.9 meV/atom

[8]
# CoPPtO2 (PBE with a Hubbard U, relaxed)
data_CoPPtO2
_cell_length_a 3.463
_cell_length_b 3.463
_cell_length_c 6.762
_cell_angle_alpha 90.00
_cell_angle_beta 90.00
_cell_angle_gamma 90.00
_symmetry_space_group_name_H-M 'P 1'
_symmetry_Int_Tables_number 1
loop_
_symmetry_equiv_pos_as_xyz
'x,y,z'
loop_
_atom_site_label
_atom_site_type_symbol
_atom_site_fract_x
_atom_site_fract_y
_atom_site_fract_z
_atom_site_occupancy
Co1 Co 0.000 0.000 0.000 1
P1 P 0.000 0.000 0.500 1
Pt1 Pt 0.500 0.500 0.500 1
O1 O 0.000 0.500 0.000 1
O2 O 0.500 0.000 0.000 1
# Symmetry ... No. 123
# Crystal system ... tetragonal
# Distance to the lowest polymorph of the same formula ... 0.0 meV/atom

[9]
# RbCo2P2O7 (PBE with a Hubbard U, relaxed)
data_RbCo2P2O7
_cell_length_a 8.598
_cell_length_b 8.598
_cell_length_c 8.598
_cell_angle_alpha 37.73
_cell_angle_beta 37.73
_cell_angle_gamma 37.73
_symmetry_space_group_name_H-M 'P 1'
_symmetry_Int_Tables_number 1
loop_
_symmetry_equiv_pos_as_xyz
'x,y,z'
loop_
_atom_site_label
_atom_site_type_symbol
_atom_site_fract_x
_atom_site_fract_y
_atom_site_fract_z
_atom_site_occupancy
Rb1 Rb 0.000 0.000 0.000 1
Co1 Co 0.237 0.237 0.237 1
Co2 Co 0.763 0.763 0.763 1
P1 P 0.433 0.433 0.433 1
P2 P 0.567 0.567 0.567 1
O1 O 0.130 0.462 0.651 1
O2 O 0.349 0.538 0.870 1
O3 O 0.462 0.651 0.130 1
O4 O 0.500 0.500 0.500 1
O5 O 0.538 0.870 0.349 1
O6 O 0.651 0.130 0.462 1
O7 O 0.870 0.349 0.538 1
# Symmetry ... No. 155
# Crystal system ... trigonal
# Uncorrected energy ... -6.47 eV/atom

[10]
# CoRePO2 (PBE with a Hubbard U, relaxed)
data_CoRePO2
_cell_length_a 3.462
_cell_length_b 3.462
_cell_length_c 6.651
_cell_angle_alpha 90.00
_cell_angle_beta 90.00
_cell_angle_gamma 90.00
_symmetry_space_group_name_H-M 'P 1'
_symmetry_Int_Tables_number 1
loop_
_symmetry_equiv_pos_as_xyz
'x,y,z'
loop_
_atom_site_label
_atom_site_type_symbol
_atom_site_fract_x
_atom_site_fract_y
_atom_site_fract_z
_atom_site_occupancy
Co1 Co 0.000 0.000 0.000 1
Re1 Re 0.500 0.500 0.500 1
P1 P 0.000 0.000 0.500 1
O1 O 0.000 0.500 0.000 1
O2 O 0.500 0.000 0.000 1
# Symmetry ... No. 123
# Crystal system ... tetragonal
# Distance to the lowest polymorph of the same formula ... 950.8 meV/atom

[11]
# CoRePO2 (PBE with a Hubbard U, relaxed)
data_CoRePO2
_cell_length_a 3.736
_cell_length_b 3.736
_cell_length_c 5.201
_cell_angle_alpha 90.00
_cell_angle_beta 90.00
_cell_angle_gamma 90.00
_symmetry_space_group_name_H-M 'P 1'
_symmetry_Int_Tables_number 1
loop_
_symmetry_equiv_pos_as_xyz
'x,y,z'
loop_
_atom_site_label
_atom_site_type_symbol
_atom_site_fract_x
_atom_site_fract_y
_atom_site_fract_z
_atom_site_occupancy
Co1 Co 0.000 0.000 0.000 1
Re1 Re 0.500 0.500 0.500 1
P1 P 0.500 0.500 0.000 1
O1 O 0.000 0.500 0.500 1
O2 O 0.500 0.000 0.500 1
# Symmetry ... No. 123
# Crystal system ... tetragonal
# Distance to the lowest polymorph of the same formula ... 0.0 meV/atom

[12]
# CoP2RhO (PBE with a Hubbard U, relaxed)
data_CoP2RhO
_cell_length_a 4.782
_cell_length_b 4.782
_cell_length_c 3.668
_cell_angle_alpha 90.00
_cell_angle_beta 90.00
_cell_angle_gamma 90.00
_symmetry_space_group_name_H-M 'P 1'
_symmetry_Int_Tables_number 1
loop_
_symmetry_equiv_pos_as_xyz
'x,y,z'
loop_
_atom_site_label
_atom_site_type_symbol
_atom_site_fract_x
_atom_site_fract_y
_atom_site_fract_z
_atom_site_occupancy
Co1 Co 0.000 0.000 0.000 1
P1 P 0.000 0.500 0.500 1
P2 P 0.500 0.000 0.500 1
Rh1 Rh 0.500 0.500 0.500 1
O1 O 0.500 0.500 0.000 1
# Symmetry ... No. 123
# Crystal system ... tetragonal
# Distance to the lowest polymorph of the same formula ... 268.4 meV/atom